Run a
This record from Alexandria describes a geometry-optimized NdHoAg2 structure. The functional is PBE-GGA.

Cell: 3.6470 3.6470 7.5288 Å, 90.00 90.00 90.00°
Closest atoms and distances in Å follow each position.
Sites, in units of the cell vectors:
Ag1 0.0000 0.0000 0.2286  4 Ho 3.10, 4 Nd 3.29, 1 Ag 3.44
Ag2 0.0000 0.0000 0.7714  4 Ho 3.10, 4 Nd 3.29, 1 Ag 3.44
Nd1 0.5000 0.5000 0.5000  8 Ag 3.29, 4 Nd 3.65
Ho1 0.5000 0.5000 0.0000  8 Ag 3.10

## Properties
Magnetization ... 0.04 Bohr magnetons per cell
Space group ... P4/mmm (123)
Density of states at the Fermi level ... 0.526 states/eV/atom

***

Run b
This record from Alexandria describes a geometry-optimized NdHoAg2 structure. The functional is PBE-GGA.

Cell: 5.2253 5.2253 5.2253 Å, 60.00 60.00 60.00°
Closest atoms and distances in Å follow each position.
Sites, in units of the cell vectors:
Nd1 0.5000 0.5000 0.5000  8 Ag 3.20
Ho1 0.0000 0.0000 0.0000  8 Ag 3.20
Ag1 0.7500 0.7500 0.7500  4 Nd 3.20, 4 Ho 3.20
Ag2 0.2500 0.2500 0.2500  4 Ho 3.20, 4 Nd 3.20

## Properties
Magnetization ... 0.00 Bohr magnetons per cell
Space group ... Fm-3m (225)
Density of states at the Fermi level ... 0.928 states/eV/atom

***

run a (0.018 eV/atom below the next structure)

***

Run a
This record from Alexandria describes a geometry-optimized NdHo3Ag2 structure. The functional is PBE-GGA.

Cell: 3.6235 3.6235 12.3289 Å, 90.00 90.00 90.00°
Closest atoms and distances in Å follow each position.
Sites, in units of the cell vectors:
Ho1 0.0000 0.0000 0.2926  4 Ag 3.12
Ho2 0.0000 0.0000 0.7074  4 Ag 3.12
Ho3 0.0000 0.0000 0.0000  8 Ag 3.14
Nd1 0.5000 0.5000 0.5000  8 Ho 3.62, 4 Nd 3.62
Ag1 0.5000 0.5000 0.1479  8 Ho 3.12-3.14
Ag2 0.5000 0.5000 0.8521  8 Ho 3.12-3.14

## Properties
Magnetization ... 0.00 Bohr magnetons per cell
Space group ... P4/mmm (123)
Density of states at the Fermi level ... 1.107 states/eV/atom

***

Run b
This record from Alexandria describes a geometry-optimized NdHo3Ag2 structure. The functional is PBE-GGA.

Cell: 5.3184 9.2491 8.7381 Å, 125.31 90.00 106.71°
Closest atoms and distances in Å follow each position.
Sites, in units of the cell vectors:
Ho1 0.3812 0.7624 0.2903  4 Ag 2.86-3.12
Ho2 0.9382 0.8764 0.6024  3 Ag 3.17-3.21, 1 Nd 3.48, 4 Ho 3.49-3.55
Ho3 0.6188 0.2376 0.7097  4 Ag 2.86-3.12
Ho4 0.3091 0.6183 0.6136  2 Ag 2.88-3.11, 2 Ho 3.22
Ho5 0.6909 0.3817 0.3864  2 Ag 2.88-3.11, 2 Ho 3.22
Ho6 0.0618 0.1236 0.3976  3 Ag 3.17-3.21, 1 Nd 3.48, 4 Ho 3.49-3.55
Nd1 0.1373 0.2747 0.0812  5 Ag 3.24-3.36, 4 Ho 3.47-3.53
Nd2 0.8627 0.7253 0.9188  5 Ag 3.24-3.36, 4 Ho 3.47-3.53
Ag1 0.2281 0.4562 0.8452  5 Ho 3.08-3.17, 3 Nd 3.29-3.36
Ag2 0.4869 0.9737 0.1404  1 Ag 2.76, 2 Ho 2.86-2.88
Ag3 0.7719 0.5438 0.1548  5 Ho 3.08-3.17, 3 Nd 3.29-3.36
Ag4 0.5131 0.0263 0.8596  1 Ag 2.76, 2 Ho 2.86-2.88

## Properties
Magnetization ... 0.00 Bohr magnetons per cell
Space group ... C2/m (12)
Density of states at the Fermi level ... 1.109 states/eV/atom

***

run a (0.075 eV/atom below the next structure)

***

Run a
This record from Alexandria describes a geometry-optimized Nd3HoAg2 structure. The functional is PBE-GGA.

Cell: 5.2483 6.9965 9.4267 Å, 90.00 90.00 90.00°
Closest atoms and distances in Å follow each position.
Sites, in units of the cell vectors:
Nd1 0.0000 0.9920 0.0609  3 Ag 3.11-3.22
Nd2 0.0000 0.4920 0.9391  3 Ag 3.11-3.22
Nd3 0.0000 0.3389 0.3356  4 Ag 3.00-3.21
Nd4 0.5000 0.6590 0.1711  4 Ag 3.04-3.22
Nd5 0.5000 0.1590 0.8289  4 Ag 3.04-3.22
Nd6 0.0000 0.8389 0.6644  4 Ag 3.00-3.21
Ho1 0.5000 0.0100 0.4405  3 Ag 3.06-3.21
Ho2 0.5000 0.5100 0.5595  3 Ag 3.06-3.21
Ag1 0.5000 0.7243 0.8421  6 Nd 3.04-3.22, 1 Ho 3.06
Ag2 0.5000 0.2243 0.1579  6 Nd 3.04-3.22, 1 Ho 3.06
Ag3 0.0000 0.2758 0.6507  5 Nd 3.00-3.22, 2 Ho 3.21
Ag4 0.0000 0.7758 0.3493  5 Nd 3.00-3.22, 2 Ho 3.21

## Properties
Magnetization ... 0.00 Bohr magnetons per cell
Space group ... Pmc2_1 (26)
Density of states at the Fermi level ... 1.133 states/eV/atom

***

Run b
This record from Alexandria describes a geometry-optimized Nd3HoAg2 structure. The functional is PBE-GGA.

Cell: 7.0872 7.7194 8.8646 Å, 115.81 113.56 90.00°
Closest atoms and distances in Å follow each position.
Sites, in units of the cell vectors:
Ho1 0.0000 0.0000 0.0000  2 Ag 2.95
Ho2 0.0000 0.5000 0.0000  2 Ag 2.95
Ag1 0.5553 0.3598 0.7196  1 Ho 2.95, 6 Nd 3.07-3.13
Ag2 0.8358 0.1402 0.2804  1 Ho 2.95, 6 Nd 3.07-3.13
Ag3 0.1642 0.8598 0.7196  1 Ho 2.95, 6 Nd 3.07-3.13
Ag4 0.4447 0.6402 0.2804  1 Ho 2.95, 6 Nd 3.07-3.13
Nd1 0.2234 0.4734 0.4467  4 Ag 3.07-3.13
Nd2 0.5000 0.2500 0.0000  4 Ag 3.11
Nd3 0.7766 0.0266 0.5533  4 Ag 3.07-3.13
Nd4 0.7766 0.5266 0.5533  4 Ag 3.07-3.13
Nd5 0.2234 0.9734 0.4467  4 Ag 3.07-3.13
Nd6 0.5000 0.7500 0.0000  4 Ag 3.11

## Properties
Magnetization ... 0.00 Bohr magnetons per cell
Space group ... Ibam (72)
Density of states at the Fermi level ... 1.445 states/eV/atom

***

run a (0.220 eV/atom below the next structure)

***

Run a
This record from Alexandria describes a geometry-optimized Nd2HoAg2 structure. The functional is PBE-GGA.

Cell: 3.7102 5.3248 13.9032 Å, 90.00 97.67 90.00°
Closest atoms and distances in Å follow each position.
Sites, in units of the cell vectors:
Nd1 0.7653 0.2500 0.5322  2 Ag 3.17, 4 Nd 3.36-3.37
Nd2 0.0454 0.7500 0.0932  8 Ag 3.18-3.32
Nd3 0.2347 0.7500 0.4678  2 Ag 3.17, 4 Nd 3.36-3.37
Nd4 0.9546 0.2500 0.9068  8 Ag 3.18-3.32
Ag1 0.6407 0.7500 0.2812  4 Nd 3.17-3.19, 4 Ho 3.25
Ag2 0.5516 0.2500 0.1058  2 Ho 3.15, 6 Nd 3.25-3.32
Ag3 0.3593 0.2500 0.7188  4 Nd 3.17-3.19, 4 Ho 3.25
Ag4 0.4484 0.7500 0.8942  2 Ho 3.15, 6 Nd 3.25-3.32
Ho1 0.8550 0.7500 0.7097  6 Ag 3.15-3.25
Ho2 0.1450 0.2500 0.2903  6 Ag 3.15-3.25

## Properties
Magnetization ... 0.00 Bohr magnetons per cell
Space group ... P2_1/m (11)
Density of states at the Fermi level ... 1.043 states/eV/atom

***

Run b
This record from Alexandria describes a geometry-optimized Nd2HoAg2 structure. The functional is PBE-GGA.

Cell: 3.7206 8.5398 9.0942 Å, 90.00 90.00 102.58°
Closest atoms and distances in Å follow each position.
Sites, in units of the cell vectors:
Ho1 0.5391 0.0781 0.0278  6 Ag 3.05-3.14
Ho2 0.4609 0.9219 0.5278  6 Ag 3.05-3.14
Nd1 0.6802 0.3603 0.3681  5 Ag 3.02-3.14
Nd2 0.8661 0.7323 0.1946  1 Ag 3.08
Nd3 0.1339 0.2677 0.6946  1 Ag 3.08
Nd4 0.3198 0.6397 0.8681  5 Ag 3.02-3.14
Ag1 0.8150 0.6301 0.5895  3 Nd 3.02-3.14, 1 Ag 3.10, 2 Ho 3.11
Ag2 0.9593 0.9186 0.8053  3 Nd 3.03-3.08, 4 Ho 3.05-3.14, 1 Ag 3.10
Ag3 0.0407 0.0814 0.3053  3 Nd 3.03-3.08, 4 Ho 3.05-3.14, 1 Ag 3.10
Ag4 0.1850 0.3699 0.0895  3 Nd 3.02-3.14, 1 Ag 3.10, 2 Ho 3.11

## Properties
Magnetization ... 0.00 Bohr magnetons per cell
Space group ... Cmc2_1 (36)
Density of states at the Fermi level ... 0.987 states/eV/atom

***

run a (0.080 eV/atom below the next structure)

***

Run a
This record from Alexandria describes a geometry-optimized NdHoZnAg structure. The functional is PBE-GGA.

Cell: 5.1761 5.1761 5.1761 Å, 60.00 60.00 60.00°
Closest atoms and distances in Å follow each position.
Sites, in units of the cell vectors:
Zn1 0.7500 0.7500 0.7500  4 Ho 3.17, 4 Nd 3.17
Ho1 0.0000 0.0000 0.0000  4 Ag 3.17, 4 Zn 3.17
Nd1 0.5000 0.5000 0.5000  4 Zn 3.17, 4 Ag 3.17
Ag1 0.2500 0.2500 0.2500  4 Ho 3.17, 4 Nd 3.17

## Properties
Magnetization ... 0.00 Bohr magnetons per cell
Space group ... F-43m (216)
Density of states at the Fermi level ... 0.687 states/eV/atom

***

Run b
This record from Alexandria describes a geometry-optimized NdHoZnAg structure. The functional is PBE-GGA.

Cell: 3.6411 3.6411 7.3449 Å, 90.00 90.00 90.00°
Closest atoms and distances in Å follow each position.
Sites, in units of the cell vectors:
Zn1 0.5000 0.5000 0.5901  4 Ho 3.07, 4 Nd 3.19, 1 Ag 3.39
Ho1 0.0000 0.0000 0.3628  4 Zn 3.07, 4 Ag 3.10
Nd1 0.0000 0.0000 0.8467  4 Zn 3.19, 4 Ag 3.30, 1 Ho 3.55
Ag1 0.5000 0.5000 0.1284  4 Ho 3.10, 4 Nd 3.30, 1 Zn 3.39

## Properties
Magnetization ... 0.00 Bohr magnetons per cell
Space group ... P4mm (99)
Density of states at the Fermi level ... 0.981 states/eV/atom

***

run b (0.019 eV/atom below the next structure)

***

Run a
This record from Alexandria describes a geometry-optimized Ho12Ni6Ag structure. The functional is PBE-GGA.

Cell: 8.3703 8.3703 8.3703 Å, 108.71 108.71 108.71°
Closest atoms and distances in Å follow each position.
Sites, in units of the cell vectors:
Ho1 0.8557 0.3282 0.0337  3 Ni 2.67-2.77
Ho2 0.1443 0.6718 0.9663  3 Ni 2.67-2.77
Ho3 0.5496 0.8480 0.6102  3 Ni 2.68-2.86
Ho4 0.9663 0.1443 0.6718  3 Ni 2.67-2.77
Ho5 0.0337 0.8557 0.3282  3 Ni 2.67-2.77
Ho6 0.8480 0.6102 0.5496  3 Ni 2.68-2.86
Ho7 0.3282 0.0337 0.8557  3 Ni 2.67-2.77
Ho8 0.3898 0.4504 0.1520  3 Ni 2.68-2.86
Ho9 0.4504 0.1520 0.3898  3 Ni 2.68-2.86
Ho10 0.1520 0.3898 0.4504  3 Ni 2.68-2.86
Ho11 0.6718 0.9663 0.1443  3 Ni 2.67-2.77
Ho12 0.6102 0.5496 0.8480  3 Ni 2.68-2.86
Ag1 0.0000 0.0000 0.0000  12 Ho 3.31-3.58
Ni1 0.2146 0.6413 0.2869  6 Ho 2.67-2.86
Ni2 0.2869 0.2146 0.6413  6 Ho 2.67-2.86
Ni3 0.6413 0.2869 0.2146  6 Ho 2.67-2.86
Ni4 0.7854 0.3587 0.7131  6 Ho 2.67-2.86
Ni5 0.7131 0.7854 0.3587  6 Ho 2.67-2.86
Ni6 0.3587 0.7131 0.7854  6 Ho 2.67-2.86

## Properties
Magnetization ... 0.00 Bohr magnetons per cell
Space group ... R-3 (148)
Density of states at the Fermi level ... 0.983 states/eV/atom

***

Run b
This record from Alexandria describes a geometry-optimized Ho12Ni6Ag structure. The functional is PBE-GGA.

Cell: 8.3289 8.3289 8.3289 Å, 109.47 109.47 109.47°
Closest atoms and distances in Å follow each position.
Sites, in units of the cell vectors:
Ho1 0.8838 0.6974 0.1863  3 Ni 2.63-2.87
Ho2 0.6974 0.1863 0.8838  3 Ni 2.63-2.87
Ho3 0.4889 0.3026 0.1863  3 Ni 2.63-2.87
Ho4 0.8137 0.5111 0.6974  3 Ni 2.63-2.87
Ho5 0.1162 0.3026 0.8137  3 Ni 2.63-2.87
Ho6 0.8137 0.1162 0.3026  3 Ni 2.63-2.87
Ho7 0.1863 0.8838 0.6974  3 Ni 2.63-2.87
Ho8 0.3026 0.1863 0.4889  3 Ni 2.63-2.87
Ho9 0.5111 0.6974 0.8137  3 Ni 2.63-2.87
Ho10 0.6974 0.8137 0.5111  3 Ni 2.63-2.87
Ho11 0.1863 0.4889 0.3026  3 Ni 2.63-2.87
Ho12 0.3026 0.8137 0.1162  3 Ni 2.63-2.87
Ag1 0.0000 0.0000 0.0000  12 Ho 3.42
Ni1 0.6248 0.1248 0.5000  1 Ni 2.40, 2 Ho 2.63
Ni2 0.8752 0.5000 0.3752  1 Ni 2.40, 2 Ho 2.63
Ni3 0.5000 0.6248 0.1248  1 Ni 2.40, 2 Ho 2.63
Ni4 0.3752 0.8752 0.5000  1 Ni 2.40, 2 Ho 2.63
Ni5 0.1248 0.5000 0.6248  1 Ni 2.40, 2 Ho 2.63
Ni6 0.5000 0.3752 0.8752  1 Ni 2.40, 2 Ho 2.63

## Properties
Magnetization ... 0.00 Bohr magnetons per cell
Space group ... Im-3 (204)
Density of states at the Fermi level ... 1.294 states/eV/atom

***

run b (0.123 eV/atom below the next structure)